Compound: NdTm2Th
Source: Alexandria
Functional: PBE
Structure: relaxed

Lattice parameters (Å, degrees): 6.786 6.786 12.412 117.20 117.20 30.83
Element x y z (fractional)
Nd  0.122  0.122  0.477
Nd  0.878  0.878  0.523
Tm  0.372  0.372  0.264
Tm  0.373  0.373  0.775
Tm  0.627  0.627  0.225
Tm  0.628  0.628  0.736
Th  0.124  0.124  0.975
Th  0.876  0.876  0.025

Results
relative energy among the computed polymorphs: 0.05 eV/f.u.
total DFT energy (no corrections): -5.26 eV per atom
ΔH_f (0 K): 0.02 eV/atom
DOS at the Fermi energy: 1.609 states/eV per atom

---

Compound: NpPtW
Source: Alexandria
Functional: PBE
Structure: relaxed

Lattice parameters (Å, degrees): 5.547 5.547 7.766 90.42 90.42 28.80
Element x y z (fractional)
Np  0.073  0.073  0.263
Np  0.927  0.927  0.737
Pt  0.182  0.182  0.629
Pt  0.818  0.818  0.371
W  0.353  0.353  0.066
W  0.647  0.647  0.934

Results
total DFT energy (no corrections): -10.50 eV per atom
ΔH_f (0 K): 0.15 eV/atom
DOS at the Fermi energy: 1.749 states/eV per atom

---

Compound: LaCu2Se2
Source: Alexandria
Functional: PBE
Structure: relaxed

Lattice parameters (Å, degrees): 5.566 5.566 5.566 129.69 129.69 73.90
Element x y z (fractional)
La  0.000  0.000  0.000
Cu  0.365  0.365  0.000
Cu  0.635  0.635  0.000
Se  0.250  0.750  0.500
Se  0.750  0.250  0.500

Results
total DFT energy (no corrections): -4.74 eV per atom
energy relative to the elements, uncorrected: -0.7238 eV/atom
DOS at the Fermi energy: 0.611 states/eV per atom

---

Compound: PmPrThGa
Source: Alexandria
Functional: PBE
Structure: relaxed

Lattice parameters (Å, degrees): 5.467 5.467 5.467 60.00 60.00 60.00
Element x y z (fractional)
Pm  0.000  0.000  0.000
Pr  0.750  0.750  0.750
Th  0.250  0.250  0.250
Ga  0.500  0.500  0.500

Results
total DFT energy (no corrections): -5.02 eV per atom
ΔH_f (0 K): -0.02 eV/atom
DOS at the Fermi energy: 1.372 states/eV per atom